No. 1
# HoEr2Bi

A relaxed HoEr2Bi crystal (GGA-PBE, the Alexandria database).

Output
Size of the total moment, μB/f.u.: 0.00
Relative energy among the computed polymorphs, meV per atom: 434
ΔE_f, eV/atom: 0.031
DOS(E_F), states/eV/f.u.: 4.1
SG: No. 166

Geometry as extended XYZ:
```
4
Lattice="1.758 1.015 11.905 -1.758 1.015 11.905 0.000 -2.030 11.905" Properties=species:S:1:pos:R:3 pbc="T T T"
Ho 0.000 0.000 0.000
Er 0.000 0.000 14.719
Er 0.000 0.000 20.996
Bi 0.000 0.000 17.857
```

No. 2
# HoErBi

A relaxed HoErBi crystal (GGA-PBE, the Alexandria database).

Output
Size of the total moment, μB/f.u.: 1.02
ΔE_f, eV/atom: -0.442
DOS(E_F), states/eV/f.u.: 2.2
SG: No. 107

Geometry as extended XYZ:
```
3
Lattice="-2.008 2.008 5.381 2.008 -2.008 5.381 2.008 2.008 -5.381" Properties=species:S:1:pos:R:3 pbc="T T T"
Ho 0.000 0.000 0.000
Er 0.000 0.000 3.397
Bi 0.000 0.000 7.087
```

No. 3
# HoErBi

A relaxed HoErBi crystal (GGA-PBE, the Alexandria database).

Output
Size of the total moment, μB/f.u.: 0.00
ΔE_f, eV/atom: -0.391
DOS(E_F), states/eV/f.u.: 2.9
SG: No. 26

Geometry as extended XYZ:
```
12
Lattice="3.935 0.000 0.000 0.000 10.917 0.000 0.000 0.000 8.487" Properties=species:S:1:pos:R:3 pbc="T T T"
Ho 0.000 1.631 0.000
Ho 0.000 3.456 5.657
Ho 0.000 7.461 1.414
Ho 0.000 9.286 4.243
Er 1.968 0.603 5.779
Er 1.968 4.083 2.600
Er 1.968 6.834 6.843
Er 1.968 10.313 1.535
Bi 0.000 1.521 3.199
Bi 0.000 4.745 0.016
Bi 0.000 6.172 4.259
Bi 0.000 9.396 7.442
```

No. 4
# HoEr2Bi

A relaxed HoEr2Bi crystal (GGA-PBE, the Alexandria database).

Output
Size of the total moment, μB/f.u.: 0.00
Relative energy among the computed polymorphs, meV per atom: 97
ΔE_f, eV/atom: -0.306
DOS(E_F), states/eV/f.u.: 6.5
SG: No. 123

Geometry as extended XYZ:
```
4
Lattice="4.830 0.000 0.000 0.000 4.830 0.000 0.000 0.000 4.828" Properties=species:S:1:pos:R:3 pbc="T T T"
Ho 0.000 0.000 0.000
Er 0.000 2.415 2.414
Er 2.415 0.000 2.414
Bi 2.415 2.415 0.000
```

No. 5
# HoEr2Bi

A relaxed HoEr2Bi crystal (GGA-PBE, the Alexandria database).

Output
Size of the total moment, μB/f.u.: 0.00
Relative energy among the computed polymorphs, meV per atom: 79
ΔE_f, eV/atom: -0.324
DOS(E_F), states/eV/f.u.: 5.7
SG: No. 123

Geometry as extended XYZ:
```
4
Lattice="4.092 0.000 0.000 0.000 4.092 0.000 0.000 0.000 6.988" Properties=species:S:1:pos:R:3 pbc="T T T"
Ho 0.000 0.000 0.000
Er 2.046 2.046 1.831
Er 2.046 2.046 5.157
Bi 0.000 0.000 3.494
```

No. 6
# HoEr5Bi5

A relaxed HoEr5Bi5 crystal (GGA-PBE, the Alexandria database).

Output
Size of the total moment, μB/f.u.: 0.00
ΔE_f, eV/atom: -0.617
DOS(E_F), states/eV/f.u.: 4.2
SG: No. 12

Geometry as extended XYZ:
```
11
Lattice="6.907 -3.112 0.000 6.907 3.112 0.000 -2.778 0.000 8.327" Properties=species:S:1:pos:R:3 pbc="T T T"
Ho 0.000 0.000 0.000
Er -1.389 0.000 4.163
Er 4.175 0.000 1.443
Er 2.809 0.000 5.524
Er 8.228 0.000 2.802
Er 6.862 0.000 6.884
Bi 1.373 0.000 2.797
Bi 0.041 0.000 6.930
Bi 6.907 0.000 0.000
Bi 10.996 0.000 1.397
Bi 9.664 0.000 5.530
```

No. 7
# Ho5Er2Bi5

A relaxed Ho5Er2Bi5 crystal (GGA-PBE, the Alexandria database).

Output
Size of the total moment, μB/f.u.: 0.00
ΔE_f, eV/atom: -0.556
DOS(E_F), states/eV/f.u.: 8.0
SG: No. 12

Geometry as extended XYZ:
```
12
Lattice="7.285 -2.208 0.000 7.285 2.208 0.000 -4.852 0.000 11.696" Properties=species:S:1:pos:R:3 pbc="T T T"
Ho 0.000 0.000 0.000
Ho -0.186 0.000 6.192
Ho -1.028 0.000 9.729
Ho 10.745 0.000 1.967
Ho 9.903 0.000 5.504
Er 3.088 0.000 8.325
Er 6.629 0.000 3.371
Bi 1.509 0.000 3.282
Bi 5.236 0.000 0.724
Bi 4.859 0.000 5.848
Bi 4.481 0.000 10.972
Bi 8.208 0.000 8.415
```

No. 8
# HoEr4Bi2

A relaxed HoEr4Bi2 crystal (GGA-PBE, the Alexandria database).

Output
Size of the total moment, μB/f.u.: 0.00
ΔE_f, eV/atom: 0.357
DOS(E_F), states/eV/f.u.: 6.0
SG: No. 139

Geometry as extended XYZ:
```
7
Lattice="-2.647 2.647 8.288 2.647 -2.647 8.288 2.647 2.647 -8.288" Properties=species:S:1:pos:R:3 pbc="T T T"
Ho 0.000 0.000 0.000
Er 2.647 0.000 0.000
Er 0.000 0.000 2.995
Er 0.000 2.647 0.000
Er 0.000 0.000 13.582
Bi 0.000 0.000 6.053
Bi 0.000 0.000 10.524
```

No. 9
# Ho3ErBi4

A relaxed Ho3ErBi4 crystal (GGA-PBE, the Alexandria database).

Output
Size of the total moment, μB/f.u.: 0.00
Relative energy among the computed polymorphs, meV per atom: 6
ΔE_f, eV/atom: -0.830
DOS(E_F), states/eV/f.u.: 1.2
SG: No. 65

Geometry as extended XYZ:
```
8
Lattice="4.453 -6.297 0.000 4.453 6.297 0.000 0.000 0.000 4.456" Properties=species:S:1:pos:R:3 pbc="T T T"
Ho 0.000 0.000 0.000
Ho 2.227 3.149 2.228
Ho 2.227 -3.149 2.228
Er 4.453 0.000 0.000
Bi 4.453 3.143 0.000
Bi 2.232 0.000 2.228
Bi 6.674 0.000 2.228
Bi 4.453 -3.143 0.000
```

No. 10
# HoEr2Bi

A relaxed HoEr2Bi crystal (GGA-PBE, the Alexandria database).

Output
Size of the total moment, μB/f.u.: 0.00
Relative energy among the computed polymorphs, meV per atom: 0
ΔE_f, eV/atom: -0.403
DOS(E_F), states/eV/f.u.: 4.6
SG: No. 11

Geometry as extended XYZ:
```
8
Lattice="4.614 0.000 0.000 0.000 4.565 0.000 -2.309 0.000 11.249" Properties=species:S:1:pos:R:3 pbc="T T T"
Ho 0.001 1.141 4.300
Ho 2.305 3.424 6.949
Er -0.001 3.424 1.350
Er -0.001 3.424 9.926
Er 2.306 1.141 1.322
Er 2.306 1.141 9.898
Bi -0.003 1.141 7.460
Bi 2.309 3.424 3.789
```

No. 11
# HoEr3Bi4

A relaxed HoEr3Bi4 crystal (GGA-PBE, the Alexandria database).

Output
Size of the total moment, μB/f.u.: 0.00
ΔE_f, eV/atom: -0.824
DOS(E_F), states/eV/f.u.: 0.5
SG: No. 221

Geometry as extended XYZ:
```
8
Lattice="6.284 0.000 0.000 0.000 6.284 0.000 0.000 0.000 6.284" Properties=species:S:1:pos:R:3 pbc="T T T"
Ho 0.000 0.000 0.000
Er 0.000 3.142 3.142
Er 3.142 0.000 3.142
Er 3.142 3.142 0.000
Bi 0.000 0.000 3.142
Bi 0.000 3.142 0.000
Bi 3.142 0.000 0.000
Bi 3.142 3.142 3.142
```

No. 12
# HoEr8Bi2

A relaxed HoEr8Bi2 crystal (GGA-PBE, the Alexandria database).

Output
Size of the total moment, μB/f.u.: 0.00
ΔE_f, eV/atom: 0.066
DOS(E_F), states/eV/f.u.: 14.9
SG: No. 12

Geometry as extended XYZ:
```
11
Lattice="7.449 -4.362 0.000 7.449 4.362 0.000 -2.062 0.000 5.850" Properties=species:S:1:pos:R:3 pbc="T T T"
Ho 0.000 0.000 0.000
Er 1.031 0.000 4.971
Er 4.160 1.623 4.395
Er 5.613 0.000 1.476
Er 8.676 1.623 1.455
Er 4.160 -1.623 4.395
Er 7.223 0.000 4.373
Er 8.676 -1.623 1.455
Er 11.806 0.000 0.879
Bi 2.453 0.000 2.217
Bi 10.383 0.000 3.633
```